No. 1
First-principles (PBE-GGA) data for a relaxed structure of NbW3, as listed in the Alexandria database.

Cell lengths 3.2028, 4.5496, 4.5492 Å; angles 90.00, 90.00, 90.00 degrees
Fractional coordinates of all 4 atoms:
Nb1 0.0000 0.0000 0.9167
W1 0.0000 0.5000 0.4166
W2 0.5000 0.0000 0.4166
W3 0.5000 0.5000 0.9166

Results
DFT total energy	-49.2	eV per cell
DOS(E_F)	1.475	states/eV/cell
calculated density	16143	kg/m3

No. 2
First-principles (PBE-GGA) data for a relaxed structure of NbW, as listed in the Alexandria database.

Cell lengths 7.9591, 7.9591, 4.6777 Å; angles 90.00, 90.00, 90.00 degrees
Fractional coordinates of all 16 atoms:
Nb1 0.6941 0.0000 0.0000
Nb2 0.3059 0.0000 0.0000
Nb3 0.0000 0.3059 0.0000
Nb4 0.0000 0.6941 0.0000
Nb5 0.1941 0.5000 0.5000
Nb6 0.8059 0.5000 0.5000
Nb7 0.5000 0.8059 0.5000
Nb8 0.5000 0.1941 0.5000
W1 0.6628 0.6628 0.0000
W2 0.6628 0.3372 0.0000
W3 0.3372 0.6628 0.0000
W4 0.3372 0.3372 0.0000
W5 0.1628 0.1628 0.5000
W6 0.1628 0.8372 0.5000
W7 0.8372 0.1628 0.5000
W8 0.8372 0.8372 0.5000

Results
DFT total energy	-177.3	eV per cell
DOS(E_F)	14.892	states/eV/cell
calculated density	12407	kg/m3

No. 3
First-principles (PBE-GGA) data for a relaxed structure of NbW, as listed in the Alexandria database.

Cell lengths 4.4474, 4.4474, 5.4313 Å; angles 90.00, 90.00, 120.00 degrees
Fractional coordinates of all 4 atoms:
Nb1 0.3333 0.6667 0.2500
Nb2 0.6667 0.3333 0.7500
W1 0.3333 0.6667 0.7500
W2 0.6667 0.3333 0.2500

Results
DFT total energy	-39.1	eV per cell
DOS(E_F)	7.937	states/eV/cell
calculated density	9879	kg/m3

No. 4
First-principles (PBE-GGA) data for a relaxed structure of NbW, as listed in the Alexandria database.

Cell lengths 3.2289, 2.8047, 11.6097 Å; angles 113.83, 82.02, 54.86 degrees
Fractional coordinates of all 4 atoms:
Nb1 0.1965 0.3071 0.9291
Nb2 0.2257 0.5145 0.6652
W1 0.1974 0.0562 0.1787
W2 0.2241 0.7668 0.4156

Results
DFT total energy	-46.2	eV per cell
DOS(E_F)	2.683	states/eV/cell
calculated density	13464	kg/m3